Record 1
# TiFeHg3 | Alexandria via LeMat-Bulk | PBE-GGA | optimized geometry
# **Relative energy among the computed polymorphs**: 0.0000 eV/atom
# **DFT total energy**: -0.091 hartree per atom
# **ΔH_f (0 K)**: 0.973 eV per atom
# **Total magnetic moment**: 0.000 μB per atom
data_TiFeHg3
_chemical_formula_sum 'Ti1 Fe1 Hg3'
_cell_length_a 4.8973
_cell_length_b 4.8973
_cell_length_c 4.8973
_cell_angle_alpha 90.00
_cell_angle_beta 90.00
_cell_angle_gamma 90.00
_symmetry_space_group_name_H-M 'P m -3 m'
_symmetry_Int_Tables_number 221
_symmetry_space_group_name_Hall '-P 4 2 3'
loop_
_atom_site_label
_atom_site_fract_x
_atom_site_fract_y
_atom_site_fract_z
Ti1 0.0000 0.0000 0.0000
Fe1 0.5000 0.5000 0.5000
Hg1 0.0000 0.5000 0.5000



Record 2
# LiVCuIr | Alexandria via LeMat-Bulk | PBE-GGA | optimized geometry
# **DFT total energy**: -0.226 hartree per atom
# **ΔH_f (0 K)**: -0.143 eV per atom
# **Total magnetic moment**: 0.156 μB per atom
data_LiVCuIr
_chemical_formula_sum 'Li4 V4 Cu4 Ir4'
_cell_length_a 5.9062
_cell_length_b 5.9062
_cell_length_c 5.9062
_cell_angle_alpha 90.00
_cell_angle_beta 90.00
_cell_angle_gamma 90.00
_symmetry_space_group_name_H-M 'F -4 3 m'
_symmetry_Int_Tables_number 216
_symmetry_space_group_name_Hall 'F -4 2 3'
loop_
_atom_site_label
_atom_site_fract_x
_atom_site_fract_y
_atom_site_fract_z
Li1 0.0000 0.0000 0.0000
V1 0.0000 0.0000 0.5000
Cu1 0.2500 0.2500 0.2500
Ir1 0.2500 0.2500 0.7500



Record 3
# BaOsRh | Alexandria via LeMat-Bulk | PBE-GGA | optimized geometry
# **Relative energy among the computed polymorphs**: 0.8477 eV/atom
# **DFT total energy**: -0.207 hartree per atom
# **ΔH_f (0 K)**: 1.204 eV per atom
# **Total magnetic moment**: 0.732 μB per atom
data_BaOsRh
_chemical_formula_sum 'Ba4 Os4 Rh4'
_cell_length_a 6.6778
_cell_length_b 6.6778
_cell_length_c 6.6778
_cell_angle_alpha 90.00
_cell_angle_beta 90.00
_cell_angle_gamma 90.00
_symmetry_space_group_name_H-M 'F -4 3 m'
_symmetry_Int_Tables_number 216
_symmetry_space_group_name_Hall 'F -4 2 3'
loop_
_atom_site_label
_atom_site_fract_x
_atom_site_fract_y
_atom_site_fract_z
Ba1 0.0000 0.0000 0.0000
Os1 0.2500 0.2500 0.2500
Rh1 0.0000 0.0000 0.5000



Record 4
# BaHS3 | Alexandria via LeMat-Bulk | PBE-GGA | optimized geometry
# **Relative energy among the computed polymorphs**: 0.8256 eV/atom
# **DFT total energy**: -0.102 hartree per atom
# **Total magnetic moment**: 1.000 μB per atom
data_BaHS3
_chemical_formula_sum 'Ba1 H1 S3'
_cell_length_a 6.2571
_cell_length_b 6.2571
_cell_length_c 6.2571
_cell_angle_alpha 90.00
_cell_angle_beta 90.00
_cell_angle_gamma 90.00
_symmetry_space_group_name_H-M 'P m -3 m'
_symmetry_Int_Tables_number 221
_symmetry_space_group_name_Hall '-P 4 2 3'
loop_
_atom_site_label
_atom_site_fract_x
_atom_site_fract_y
_atom_site_fract_z
Ba1 0.0000 0.0000 0.0000
H1 0.5000 0.5000 0.5000
S1 0.0000 0.0000 0.5000



Copy entry 2 word for word.
# LiVCuIr | Alexandria via LeMat-Bulk | PBE-GGA | optimized geometry
# **DFT total energy**: -0.226 hartree per atom
# **ΔH_f (0 K)**: -0.143 eV per atom
# **Total magnetic moment**: 0.156 μB per atom
data_LiVCuIr
_chemical_formula_sum 'Li4 V4 Cu4 Ir4'
_cell_length_a 5.9062
_cell_length_b 5.9062
_cell_length_c 5.9062
_cell_angle_alpha 90.00
_cell_angle_beta 90.00
_cell_angle_gamma 90.00
_symmetry_space_group_name_H-M 'F -4 3 m'
_symmetry_Int_Tables_number 216
_symmetry_space_group_name_Hall 'F -4 2 3'
loop_
_atom_site_label
_atom_site_fract_x
_atom_site_fract_y
_atom_site_fract_z
Li1 0.0000 0.0000 0.0000
V1 0.0000 0.0000 0.5000
Cu1 0.2500 0.2500 0.2500
Ir1 0.2500 0.2500 0.7500



Question: Look up the DFT total energy of the second one.
Answer: -0.226 hartree per atom



Question: total magnetic moment of number 3 (BaOsRh)?
Answer: 0.732 μB per atom



Question: Look up the total magnetic moment of the third one.
Answer: 0.732 μB per atom